A relaxed structure of CaSmDyEr. Source: Alexandria via LeMat-Bulk, functional PBE. Values from VASP.

Quantum ESPRESSO input file:
```
&SYSTEM
  ibrav = 0, nat = 4, ntyp = 4
/
ATOMIC_SPECIES
Dy 162.50 Dy.upf
Ca 40.08 Ca.upf
Er 167.26 Er.upf
Sm 150.36 Sm.upf
CELL_PARAMETERS angstrom
5.753 0.000 0.000
2.877 4.982 0.000
2.877 1.661 4.697
ATOMIC_POSITIONS crystal
Dy 0.000 0.000 0.000
Ca 0.250 0.250 0.250
Er 0.750 0.750 0.750
Sm 0.500 0.500 0.500
```

Output
Formation enthalpy at 0 K, eV/atom: 0.15
Calculated total energy, Ha/atom: -0.14042
Space group: No. 216



A relaxed structure of Dy2ScPd. Source: Alexandria via LeMat-Bulk, functional PBE. Values from VASP.

Quantum ESPRESSO input file:
```
&SYSTEM
  ibrav = 0, nat = 4, ntyp = 3
/
ATOMIC_SPECIES
Dy 162.50 Dy.upf
Sc 44.96 Sc.upf
Pd 106.42 Pd.upf
CELL_PARAMETERS angstrom
3.675 0.000 0.000
0.000 5.108 0.000
0.000 0.000 5.108
ATOMIC_POSITIONS crystal
Dy 0.000 0.500 0.000
Dy 0.000 0.000 0.500
Sc 0.500 0.000 0.000
Pd 0.500 0.500 0.500
```

Output
Formation enthalpy at 0 K, eV/atom: -0.31
Calculated total energy, Ha/atom: -0.20180
Space group: No. 123



A relaxed structure of LiPb4Au5. Source: Alexandria via LeMat-Bulk, functional PBE. Values from VASP.

Quantum ESPRESSO input file:
```
&SYSTEM
  ibrav = 0, nat = 10, ntyp = 3
/
ATOMIC_SPECIES
Au 196.97 Au.upf
Pb 207.20 Pb.upf
Li 6.94 Li.upf
CELL_PARAMETERS angstrom
5.470 0.000 2.560
2.735 6.221 1.280
0.099 0.000 6.914
ATOMIC_POSITIONS crystal
Au 0.124 0.151 0.678
Au 0.953 0.849 0.322
Au 0.802 0.322 0.151
Au 0.346 0.000 0.000
Au 0.274 0.678 0.849
Pb 0.857 0.623 0.762
Pb 0.619 0.238 0.623
Pb 0.242 0.377 0.238
Pb 0.480 0.762 0.377
Li 0.794 0.000 0.000
```

Output
Formation enthalpy at 0 K, eV/atom: -0.14
Calculated total energy, Ha/atom: -0.12688
Space group: No. 79



A relaxed structure of CoNi2Bi8. Source: Alexandria via LeMat-Bulk, functional PBE. Values from VASP.

Quantum ESPRESSO input file:
```
&SYSTEM
  ibrav = 0, nat = 11, ntyp = 3
/
ATOMIC_SPECIES
Co 58.93 Co.upf
Bi 208.98 Bi.upf
Ni 58.69 Ni.upf
CELL_PARAMETERS angstrom
5.405 -0.381 -0.326
0.305 7.620 -0.257
0.305 0.927 7.568
ATOMIC_POSITIONS crystal
Co 0.000 0.000 0.000
Bi 0.735 0.128 0.711
Bi 0.243 0.433 0.433
Bi 0.265 0.872 0.289
Bi 0.264 0.811 0.811
Bi 0.736 0.189 0.189
Bi 0.757 0.567 0.567
Bi 0.735 0.711 0.128
Bi 0.265 0.289 0.872
Ni 0.764 0.791 0.791
Ni 0.236 0.209 0.209
```

Output
Formation enthalpy at 0 K, eV/atom: 0.18
Calculated total energy, Ha/atom: -0.15950
Space group: No. 12



A relaxed structure of TbPm2TmTh. Source: Alexandria via LeMat-Bulk, functional PBE. Values from VASP.

Quantum ESPRESSO input file:
```
&SYSTEM
  ibrav = 0, nat = 10, ntyp = 4
/
ATOMIC_SPECIES
Tm 168.93 Tm.upf
Pm 145.00 Pm.upf
Th 232.04 Th.upf
Tb 158.93 Tb.upf
CELL_PARAMETERS angstrom
-1.945 -1.154 -5.922
-4.838 -6.476 2.851
-4.546 4.411 0.634
ATOMIC_POSITIONS crystal
Tm 0.185 0.500 0.750
Tm 0.815 0.500 0.250
Pm 0.296 0.688 0.278
Pm 0.704 0.312 0.722
Pm 0.704 0.688 0.778
Pm 0.296 0.312 0.222
Th 0.451 0.000 0.750
Th 0.549 0.000 0.250
Tb 0.000 0.000 0.500
Tb 0.000 0.000 0.000
```

Output
Formation enthalpy at 0 K, eV/atom: 0.32
Calculated total energy, Ha/atom: -0.17964
Space group: No. 13



A relaxed structure of TaSeN. Source: Alexandria via LeMat-Bulk, functional PBE. Values from VASP.

Quantum ESPRESSO input file:
```
&SYSTEM
  ibrav = 0, nat = 12, ntyp = 3
/
ATOMIC_SPECIES
Se 78.96 Se.upf
Ta 180.95 Ta.upf
N 14.01 N.upf
CELL_PARAMETERS angstrom
1.992 6.791 -0.006
-1.992 6.791 -0.006
0.000 3.499 8.623
ATOMIC_POSITIONS crystal
Se 0.404 0.404 0.556
Se 0.596 0.596 0.444
Se 0.164 0.164 0.709
Se 0.836 0.836 0.291
Ta 0.395 0.395 0.114
Ta 0.605 0.605 0.886
Ta 0.317 0.317 0.858
Ta 0.683 0.683 0.142
N 0.236 0.236 0.113
N 0.457 0.457 0.878
N 0.764 0.764 0.887
N 0.543 0.543 0.122
```

Output
Energy relative to the elements, uncorrected, meV/atom: -674.4
Calculated total energy, Ha/atom: -0.31464
Space group: No. 12



A relaxed structure of LiSe. Source: Alexandria via LeMat-Bulk, functional PBE. Values from VASP.

Quantum ESPRESSO input file:
```
&SYSTEM
  ibrav = 0, nat = 4, ntyp = 2
/
ATOMIC_SPECIES
Se 78.96 Se.upf
Li 6.94 Li.upf
CELL_PARAMETERS angstrom
-0.843 1.873 1.937
2.269 -2.495 3.400
4.460 2.674 -1.014
ATOMIC_POSITIONS crystal
Se 0.501 0.250 0.250
Se 0.499 0.750 0.750
Li 0.999 0.250 0.752
Li 0.001 0.750 0.248
```

Output
Energy relative to the elements, uncorrected, meV/atom: -790.1
Calculated total energy, Ha/atom: -0.12823
Space group: No. 11



A relaxed structure of PrHoBiSe. Source: Alexandria via LeMat-Bulk, functional PBE. Values from VASP.

Quantum ESPRESSO input file:
```
&SYSTEM
  ibrav = 0, nat = 4, ntyp = 4
/
ATOMIC_SPECIES
Pr 140.91 Pr.upf
Ho 164.93 Ho.upf
Bi 208.98 Bi.upf
Se 78.96 Se.upf
CELL_PARAMETERS angstrom
-2.943 -2.631 1.571
2.023 -0.985 -3.605
6.688 -1.555 4.179
ATOMIC_POSITIONS crystal
Pr 0.973 0.384 0.372
Ho 0.298 0.547 0.861
Bi 0.125 0.961 0.101
Se 0.481 0.139 0.635
```

Output
Energy relative to the elements, uncorrected, meV/atom: -1228.5
Calculated total energy, Ha/atom: -0.19879
Space group: No. 160